Density functional theory data (PBE) for a relaxed structure of Cd2FeSi.

Calculated values
Energy relative to the elements, uncorrected   0.53 eV/atom
Mass density   7.4 Mg/m³
V   17.4 A^3/atom

Unit cell a=4.618 b=4.618 c=4.618 alpha=60.00 beta=60.00 gamma=60.00
Fractional positions:
Cd1 0.000 0.000 0.000
Cd2 0.250 0.250 0.250
Fe1 0.500 0.500 0.500
Si1 0.750 0.750 0.750